Entry 1:
A plane-wave DFT calculation with GGA-PBE was carried out for a relaxed PaAlSe2 crystal.

## Properties
- Space group: R-3m
- ΔE_f (raw): -0.44 eV per atom

Cell and atoms, written as POSCAR:
```
PaAlSe2
1.0
1.788 1.032 8.672
-1.788 1.032 8.672
0.000 -2.065 8.672
Pa Al Se
1 1 2
Direct
0.000 0.000 0.000
0.500 0.500 0.500
0.110 0.110 0.110
0.890 0.890 0.890
```

---

Entry 2:
A plane-wave DFT calculation with GGA-PBE was carried out for a relaxed Mo3Ru2 crystal.

## Properties
- Space group: Cmm2
- E above lowest polymorph: 0.000 eV/atom
- ΔH_f (0 K): 0.59 kcal/mol of atoms

Cell and atoms, written as POSCAR:
```
Mo3Ru2
1.0
6.783 -6.802 0.000
6.783 6.802 0.000
0.000 0.000 4.950
Mo Ru
18 12
Direct
0.040 0.628 0.005
0.105 0.895 0.000
0.131 0.463 0.506
0.179 0.179 0.753
0.180 0.180 0.250
0.325 0.675 0.259
0.372 0.960 0.005
0.395 0.395 0.502
0.463 0.131 0.506
0.537 0.869 0.506
0.605 0.605 0.502
0.628 0.040 0.005
0.675 0.325 0.259
0.820 0.820 0.250
0.821 0.821 0.753
0.869 0.537 0.506
0.895 0.105 0.000
0.960 0.372 0.005
0.000 0.000 0.498
0.070 0.735 0.501
0.235 0.432 0.000
0.265 0.930 0.501
0.315 0.685 0.759
0.432 0.235 0.000
0.500 0.500 0.002
0.568 0.765 0.000
0.685 0.315 0.759
0.735 0.070 0.501
0.765 0.568 0.000
0.930 0.265 0.501
```

---

Entry 3:
A plane-wave DFT calculation with GGA-PBE was carried out for a relaxed Sm7Cd3 crystal.

## Properties
- Space group: P6_3mc
- ΔH_f (0 K): -2.13 kcal/mol of atoms

Cell and atoms, written as POSCAR:
```
Sm7Cd3
1.0
10.275 0.000 0.000
-5.137 8.898 0.000
0.000 0.000 6.851
Sm Cd
14 6
Direct
0.062 0.531 0.000
0.124 0.248 0.744
0.124 0.876 0.744
0.248 0.124 0.244
0.333 0.667 0.622
0.469 0.531 0.000
0.469 0.938 0.000
0.531 0.062 0.500
0.531 0.469 0.500
0.667 0.333 0.122
0.752 0.876 0.744
0.876 0.124 0.244
0.876 0.752 0.244
0.938 0.469 0.500
0.205 0.410 0.303
0.205 0.795 0.303
0.410 0.205 0.803
0.590 0.795 0.303
0.795 0.205 0.803
0.795 0.590 0.803
```

---

Entry 4:
A plane-wave DFT calculation with GGA-PBE was carried out for a relaxed Ti3NbIn crystal.

## Properties
- Space group: Cmcm
- E above lowest polymorph: 0.000 eV/atom
- ΔH_f (0 K): -1.06 kcal/mol of atoms

Cell and atoms, written as POSCAR:
```
Ti3NbIn
1.0
2.331 -8.485 0.000
2.331 8.485 0.000
0.000 0.000 4.649
Ti Nb In
6 2 2
Direct
0.055 0.945 0.750
0.159 0.841 0.250
0.337 0.663 0.250
0.663 0.337 0.750
0.841 0.159 0.750
0.945 0.055 0.250
0.240 0.760 0.750
0.760 0.240 0.250
0.443 0.557 0.750
0.557 0.443 0.250
```

---

Entry 5:
A plane-wave DFT calculation with GGA-PBE was carried out for a relaxed AlRhPb2 crystal.

## Properties
- Space group: Cm
- ΔH_f (0 K): -4.01 kcal/mol of atoms

Cell and atoms, written as POSCAR:
```
AlRhPb2
1.0
3.583 -2.070 0.000
3.583 2.070 0.000
-2.308 0.000 6.742
Al Rh Pb
1 1 2
Direct
0.000 0.000 0.000
0.667 0.667 0.000
0.239 0.239 0.709
0.428 0.428 0.294
```

---

Entry 6:
A plane-wave DFT calculation with GGA-PBE was carried out for a relaxed Ac6PdRh crystal.

## Properties
- Space group: R-3m
- ΔH_f (0 K): -0.54 kcal/mol of atoms

Cell and atoms, written as POSCAR:
```
Ac6PdRh
1.0
7.013 4.049 2.383
-7.013 4.049 2.383
0.000 -8.098 2.383
Ac Pd Rh
6 1 1
Direct
0.044 0.334 0.334
0.334 0.044 0.334
0.334 0.334 0.044
0.666 0.666 0.956
0.666 0.956 0.666
0.956 0.666 0.666
0.500 0.500 0.500
0.000 0.000 0.000
```

---

Entry 7:
A plane-wave DFT calculation with GGA-PBE was carried out for a relaxed CaZnCl3 crystal.

## Properties
- Space group: Pm-3m
- ΔE_f (raw): -1.25 eV per atom
- E above lowest polymorph: 0.000 eV/atom

Cell and atoms, written as POSCAR:
```
CaZnCl3
1.0
5.342 0.000 0.000
0.000 5.342 0.000
0.000 0.000 5.342
Ca Zn Cl
1 1 3
Direct
0.000 0.000 0.000
0.500 0.500 0.500
0.000 0.000 0.500
0.000 0.500 0.000
0.500 0.000 0.000
```

---

Entry 8:
A plane-wave DFT calculation with GGA-PBE was carried out for a relaxed TaSi4Ru5 crystal.

## Properties
- Space group: P4/mmm
- ΔE_f (raw): -0.60 eV per atom

Cell and atoms, written as POSCAR:
```
TaSi4Ru5
1.0
2.938 0.000 0.000
0.000 2.938 0.000
0.000 0.000 15.412
Ta Si Ru
1 4 5
Direct
0.000 0.000 0.000
0.000 0.000 0.211
0.000 0.000 0.404
0.000 0.000 0.596
0.000 0.000 0.789
0.500 0.500 0.122
0.500 0.500 0.311
0.500 0.500 0.500
0.500 0.500 0.689
0.500 0.500 0.878
```

---

Entry 9:
A plane-wave DFT calculation with GGA-PBE was carried out for a relaxed Dy4AsP2 crystal.

## Properties
- Space group: Cmcm
- ΔH_f (0 K): -30.86 kcal/mol of atoms

Cell and atoms, written as POSCAR:
```
Dy4AsP2
1.0
1.993 -6.512 0.000
1.993 6.512 0.000
0.000 0.000 13.223
Dy As P
8 2 4
Direct
0.000 0.000 0.000
0.000 0.000 0.500
0.270 0.730 0.620
0.270 0.730 0.880
0.450 0.550 0.250
0.550 0.450 0.750
0.730 0.270 0.120
0.730 0.270 0.380
0.108 0.892 0.250
0.892 0.108 0.750
0.364 0.636 0.062
0.364 0.636 0.438
0.636 0.364 0.562
0.636 0.364 0.938
```

---

Entry 10:
A plane-wave DFT calculation with GGA-PBE was carried out for a relaxed RbPH crystal.

## Properties
- Space group: P1
- E above lowest polymorph: 0.030 eV/atom

Cell and atoms, written as POSCAR:
```
RbPH
1.0
5.716 0.000 0.000
-1.814 5.436 0.000
-2.442 -2.358 4.965
Rb P H
2 2 2
Direct
0.000 0.000 0.000
0.108 0.610 0.497
0.598 0.278 0.628
0.651 0.972 0.373
0.354 0.759 0.173
0.581 0.178 0.826
```

---

Entry 11:
A plane-wave DFT calculation with GGA-PBE was carried out for a relaxed MgSc2Tc crystal.

## Properties
- Space group: Cmmm
- ΔH_f (0 K): -2.19 kcal/mol of atoms

Cell and atoms, written as POSCAR:
```
MgSc2Tc
1.0
1.784 -2.513 0.000
1.784 2.513 0.000
0.000 0.000 9.267
Mg Sc Tc
1 2 1
Direct
0.000 0.000 0.000
0.500 0.500 0.294
0.500 0.500 0.706
0.000 0.000 0.500
```

---

Entry 12:
A plane-wave DFT calculation with GGA-PBE was carried out for a relaxed NaCrFe3 crystal.

## Properties
- Space group: Pm-3m
- E above lowest polymorph: 1.531 eV/atom
- ΔH_f (0 K): 60.33 kcal/mol of atoms

Cell and atoms, written as POSCAR:
```
NaCrFe3
1.0
4.098 0.000 0.000
0.000 4.098 0.000
0.000 0.000 4.098
Na Cr Fe
1 1 3
Direct
0.000 0.000 0.000
0.500 0.500 0.500
0.000 0.000 0.500
0.000 0.500 0.000
0.500 0.000 0.000
```

---

What did the ninth record say?
A plane-wave DFT calculation with GGA-PBE was carried out for a relaxed Dy4AsP2 crystal.

## Properties
- Space group: Cmcm
- ΔH_f (0 K): -30.86 kcal/mol of atoms

Cell and atoms, written as POSCAR:
```
Dy4AsP2
1.0
1.993 -6.512 0.000
1.993 6.512 0.000
0.000 0.000 13.223
Dy As P
8 2 4
Direct
0.000 0.000 0.000
0.000 0.000 0.500
0.270 0.730 0.620
0.270 0.730 0.880
0.450 0.550 0.250
0.550 0.450 0.750
0.730 0.270 0.120
0.730 0.270 0.380
0.108 0.892 0.250
0.892 0.108 0.750
0.364 0.636 0.062
0.364 0.636 0.438
0.636 0.364 0.562
0.636 0.364 0.938
```